Record 1
A relaxed structure of Ho5ThCd4. Source: Alexandria via LeMat-Bulk, functional PBE-GGA.

abc: 3.680 3.680 19.930
angles: 90.00 90.00 90.00
Positions (direct):
Ho (0.500, 0.500, 0.311)
Ho (0.500, 0.500, 0.500)
Ho (0.500, 0.500, 0.117)
Ho (0.500, 0.500, 0.689)
Ho (0.500, 0.500, 0.883)
Cd (0.000, 0.000, 0.595)
Cd (0.000, 0.000, 0.786)
Cd (0.000, 0.000, 0.405)
Cd (0.000, 0.000, 0.214)
Th (0.000, 0.000, 0.000)

Summary:
For the total magnetization, the calculation gives 0.000 μB per atom. The energy of formation comes out at -2.53 eV per formula unit. Its space-group type is P4/mmm (123). The value obtained for the volume is 269.9 Å³/cell.

---

Record 2
A relaxed structure of Ho6ThCd. Source: Alexandria via LeMat-Bulk, functional PBE-GGA.

abc: 9.275 8.438 6.266
angles: 47.68 42.32 56.70
Positions (direct):
Th (0.500, 0.500, 0.500)
Cd (0.000, 0.000, 0.000)
Ho (0.454, 0.759, 0.828)
Ho (0.959, 0.546, 0.254)
Ho (0.241, 0.041, 0.265)
Ho (0.546, 0.241, 0.172)
Ho (0.759, 0.959, 0.735)
Ho (0.041, 0.454, 0.746)

Summary:
For the total magnetization, the calculation gives 0.000 μB per atom. The energy of formation comes out at 0.39 eV per formula unit. Its space-group type is R-3 (148). The value obtained for the volume is 242.8 Å³/cell.

---

Record 3
A relaxed structure of Ho2ThTl2Cd2. Source: Alexandria via LeMat-Bulk, functional PBE-GGA.

abc: 5.062 5.062 9.073
angles: 73.80 73.80 60.00
Positions (direct):
Tl (0.730, 0.730, 0.809)
Tl (0.270, 0.270, 0.191)
Ho (0.133, 0.133, 0.600)
Ho (0.867, 0.867, 0.400)
Th (0.000, 0.000, 0.000)
Cd (0.431, 0.431, 0.706)
Cd (0.569, 0.569, 0.294)

Summary:
For the total magnetization, the calculation gives 0.001 μB per atom. The energy of formation comes out at -0.47 eV per formula unit. Its space-group type is R-3m (166). The value obtained for the volume is 190.6 Å³/cell.

---

Record 4
A relaxed structure of HoThTlCd. Source: Alexandria via LeMat-Bulk, functional PBE-GGA.

abc: 5.400 5.400 5.400
angles: 60.00 60.00 60.00
Positions (direct):
Ho (0.500, 0.500, 0.500)
Th (0.000, 0.000, 0.000)
Tl (0.250, 0.250, 0.250)
Cd (0.750, 0.750, 0.750)

Summary:
For the total magnetization, the calculation gives 0.000 μB per atom. The energy of formation comes out at -0.76 eV per formula unit. Its space-group type is F-43m (216). The value obtained for the volume is 111.4 Å³/cell.

---

Record 5
A relaxed structure of YHoThCd. Source: Alexandria via LeMat-Bulk, functional PBE-GGA.

abc: 3.614 3.614 8.842
angles: 90.00 90.00 90.00
Positions (direct):
Y (0.000, 0.000, 0.092)
Th (0.500, 0.500, 0.819)
Ho (0.000, 0.000, 0.550)
Cd (0.500, 0.500, 0.323)

Summary:
For the total magnetization, the calculation gives 0.000 μB per atom. The energy of formation comes out at -0.67 eV per formula unit. The value obtained for the polymorph energy (0 for the lowest one) is 0.000 eV per atom. Its space-group type is P4mm (99). The value obtained for the volume is 115.5 Å³/cell.

---

Record 6
A relaxed structure of YHoThCd. Source: Alexandria via LeMat-Bulk, functional PBE-GGA.

abc: 5.487 5.487 5.487
angles: 60.00 60.00 60.00
Each line ends with the local moment (μB).
Positions (direct):
Y (0.750, 0.750, 0.750)  0.13
Ho (0.000, 0.000, 0.000)  0.24
Cd (0.500, 0.500, 0.500)  0.00
Th (0.250, 0.250, 0.250)  0.18

Summary:
For the total magnetization, the calculation gives 0.213 μB per atom. The energy of formation comes out at 0.16 eV per formula unit. The value obtained for the polymorph energy (0 for the lowest one) is 0.209 eV per atom. Its space-group type is F-43m (216). The value obtained for the volume is 116.8 Å³/cell.

---

Record 7
A relaxed structure of HoThZnCd. Source: Alexandria via LeMat-Bulk, functional PBE-GGA.

abc: 5.254 5.254 5.254
angles: 60.00 60.00 60.00
Positions (direct):
Th (0.000, 0.000, 0.000)
Ho (0.500, 0.500, 0.500)
Cd (0.750, 0.750, 0.750)
Zn (0.250, 0.250, 0.250)

Summary:
For the total magnetization, the calculation gives 0.000 μB per atom. The energy of formation comes out at -0.71 eV per formula unit. Its space-group type is F-43m (216). The value obtained for the volume is 102.6 Å³/cell.

---

Record 8
A relaxed structure of HoTiCd. Source: Alexandria via LeMat-Bulk, functional PBE-GGA.

abc: 3.293 3.293 6.695
angles: 104.24 104.24 90.00
Positions (direct):
Ho (0.007, 0.007, 0.015)
Ti (0.673, 0.673, 0.347)
Cd (0.319, 0.319, 0.639)

Summary:
For the total magnetization, the calculation gives 0.000 μB per atom. The energy of formation comes out at -0.05 eV per formula unit. The value obtained for the polymorph energy (0 for the lowest one) is 0.000 eV per atom. Its space-group type is I4mm (107). The value obtained for the volume is 68.1 Å³/cell.

---

Record 9
A relaxed structure of HoTiCd2. Source: Alexandria via LeMat-Bulk, functional PBE-GGA.

abc: 5.030 5.030 5.030
angles: 60.00 60.00 60.00
Each line ends with the local moment (μB).
Positions (direct):
Cd (0.750, 0.750, 0.750)  0.00
Cd (0.250, 0.250, 0.250)  0.00
Ho (0.000, 0.000, 0.000)  0.16
Ti (0.500, 0.500, 0.500)  1.11

Summary:
For the total magnetization, the calculation gives 0.405 μB per atom. The energy of formation comes out at -0.24 eV per formula unit. The value obtained for the polymorph energy (0 for the lowest one) is 0.011 eV per atom. Its space-group type is Fm-3m (225). The value obtained for the volume is 90.0 Å³/cell.

---

Record 10
A relaxed structure of HoTiCd2. Source: Alexandria via LeMat-Bulk, functional PBE-GGA.

abc: 3.537 3.537 7.124
angles: 90.00 90.00 90.00
Each line ends with the local moment (μB).
Positions (direct):
Ho (0.500, 0.500, 0.500)  0.11
Ti (0.500, 0.500, 0.000)  0.64
Cd (0.000, 0.000, 0.780)  -0.01
Cd (0.000, 0.000, 0.220)  -0.01

Summary:
For the total magnetization, the calculation gives 0.232 μB per atom. The energy of formation comes out at -0.28 eV per formula unit. The value obtained for the polymorph energy (0 for the lowest one) is 0.000 eV per atom. Its space-group type is P4/mmm (123). The value obtained for the volume is 89.1 Å³/cell.

---

Record 11
A relaxed structure of HoTiCd. Source: Alexandria via LeMat-Bulk, functional PBE-GGA.

abc: 3.172 5.681 8.355
angles: 98.09 90.00 106.21
Positions (direct):
Cd (0.159, 0.318, 0.101)
Cd (0.841, 0.682, 0.899)
Ho (0.917, 0.834, 0.300)
Ho (0.083, 0.166, 0.700)
Ti (0.336, 0.672, 0.594)
Ti (0.664, 0.328, 0.406)

Summary:
For the total magnetization, the calculation gives 0.000 μB per atom. The energy of formation comes out at 0.31 eV per formula unit. The value obtained for the polymorph energy (0 for the lowest one) is 0.120 eV per atom. Its space-group type is C2/m (12). The value obtained for the volume is 143.0 Å³/cell.

---

Record 12
A relaxed structure of HoTiCd4. Source: Alexandria via LeMat-Bulk, functional PBE-GGA.

abc: 5.744 5.744 5.744
angles: 60.00 60.00 60.00
Each line ends with the local moment (μB).
Positions (direct):
Cd (0.625, 0.625, 0.124)  0.01
Cd (0.625, 0.124, 0.625)  0.01
Cd (0.625, 0.625, 0.625)  0.01
Cd (0.124, 0.625, 0.625)  0.01
Ho (0.250, 0.250, 0.250)  0.33
Ti (0.000, 0.000, 0.000)  1.52

Summary:
For the total magnetization, the calculation gives 0.444 μB per atom. The energy of formation comes out at -0.22 eV per formula unit. Its space-group type is F-43m (216). The value obtained for the volume is 134.0 Å³/cell.

---

Record 13
A relaxed structure of HoTiCd2. Source: Alexandria via LeMat-Bulk, functional PBE-GGA.

abc: 4.393 4.514 4.514
angles: 90.00 90.00 90.00
Each line ends with the local moment (μB).
Positions (direct):
Ho (0.500, 0.500, 0.500)  0.20
Ti (0.500, 0.000, 0.000)  1.04
Cd (0.000, 0.500, 0.000)  0.00
Cd (0.000, 0.000, 0.500)  0.00

Summary:
For the total magnetization, the calculation gives 0.374 μB per atom. The energy of formation comes out at -0.23 eV per formula unit. The value obtained for the polymorph energy (0 for the lowest one) is 0.012 eV per atom. Its space-group type is P4/mmm (123). The value obtained for the volume is 89.5 Å³/cell.

---

Record 14
A relaxed structure of HoTiTlCd. Source: Alexandria via LeMat-Bulk, functional PBE-GGA.

abc: 5.078 5.078 5.078
angles: 60.00 60.00 60.00
Each line ends with the local moment (μB).
Positions (direct):
Tl (0.000, 0.000, 0.000)  -0.02
Cd (0.500, 0.500, 0.500)  0.01
Ti (0.250, 0.250, 0.250)  1.32
Ho (0.750, 0.750, 0.750)  0.17

Summary:
For the total magnetization, the calculation gives 0.476 μB per atom. The energy of formation comes out at -0.20 eV per formula unit. Its space-group type is F-43m (216). The value obtained for the volume is 92.6 Å³/cell.

---

Record 15
A relaxed structure of HoTmTiCd. Source: Alexandria via LeMat-Bulk, functional PBE-GGA.

abc: 5.190 5.190 5.190
angles: 60.00 60.00 60.00
Each line ends with the local moment (μB).
Positions (direct):
Tm (0.500, 0.500, 0.500)  0.32
Cd (0.750, 0.750, 0.750)  -0.02
Ho (0.000, 0.000, 0.000)  0.29
Ti (0.250, 0.250, 0.250)  1.49

Summary:
For the total magnetization, the calculation gives 0.637 μB per atom. The energy of formation comes out at 0.17 eV per formula unit. Its space-group type is F-43m (216). The value obtained for the volume is 98.8 Å³/cell.

---

Record 16
A relaxed structure of HoTiZnCd. Source: Alexandria via LeMat-Bulk, functional PBE-GGA.

abc: 4.907 4.907 4.907
angles: 60.00 60.00 60.00
Each line ends with the local moment (μB).
Positions (direct):
Ti (0.250, 0.250, 0.250)  1.05
Ho (0.750, 0.750, 0.750)  0.18
Zn (0.000, 0.000, 0.000)  0.00
Cd (0.500, 0.500, 0.500)  0.00

Summary:
For the total magnetization, the calculation gives 0.390 μB per atom. The energy of formation comes out at -0.34 eV per formula unit. Its space-group type is F-43m (216). The value obtained for the volume is 83.5 Å³/cell.

---

Record 17
A relaxed structure of Ho3TlCd3. Source: Alexandria via LeMat-Bulk, functional PBE-GGA.

abc: 4.889 3.559 10.901
angles: 99.39 102.96 90.00
Positions (direct):
Ho (0.001, 0.001, 0.002)
Ho (0.701, 0.201, 0.402)
Ho (0.298, 0.798, 0.595)
Tl (0.432, 0.432, 0.865)
Cd (0.145, 0.645, 0.289)
Cd (0.852, 0.352, 0.703)
Cd (0.571, 0.571, 0.143)

Summary:
For the total magnetization, the calculation gives 0.000 μB per atom. The energy of formation comes out at -1.81 eV per formula unit. Its space-group type is Imm2 (44). The value obtained for the volume is 182.3 Å³/cell.

---

Record 18
A relaxed structure of Ho3Tl4Cd2. Source: Alexandria via LeMat-Bulk, functional PBE-GGA.

abc: 4.933 6.237 9.383
angles: 114.98 90.00 113.29
Positions (direct):
Tl (0.965, 0.930, 0.639)
Tl (0.685, 0.371, 0.034)
Tl (0.315, 0.629, 0.966)
Tl (0.035, 0.070, 0.361)
Ho (0.656, 0.312, 0.677)
Ho (0.000, 0.000, 0.000)
Ho (0.344, 0.688, 0.323)
Cd (0.340, 0.681, 0.667)
Cd (0.660, 0.319, 0.333)

Summary:
For the total magnetization, the calculation gives 0.000 μB per atom. The energy of formation comes out at -2.01 eV per formula unit. Its space-group type is C2/m (12). The value obtained for the volume is 235.5 Å³/cell.

---

Record 19
A relaxed structure of HoTl3Cd2. Source: Alexandria via LeMat-Bulk, functional PBE-GGA.

abc: 4.182 4.910 8.048
angles: 107.76 90.00 90.00
Positions (direct):
Cd (0.000, 0.335, 0.670)
Cd (0.000, 0.665, 0.330)
Tl (0.500, 0.169, 0.338)
Tl (0.500, 0.831, 0.662)
Tl (0.500, 0.500, 0.000)
Ho (0.000, 0.000, 0.000)

Summary:
For the total magnetization, the calculation gives 0.000 μB per atom. The energy of formation comes out at -0.59 eV per formula unit. Its space-group type is Cmmm (65). The value obtained for the volume is 157.4 Å³/cell.

---

Record 20
A relaxed structure of Ho4Tl7Cd. Source: Alexandria via LeMat-Bulk, functional PBE-GGA.

abc: 5.479 9.465 7.759
angles: 81.09 69.33 73.18
Positions (direct):
Tl (0.639, 0.435, 0.287)
Tl (0.500, 0.000, 0.000)
Tl (0.071, 0.681, 0.177)
Tl (0.361, 0.565, 0.713)
Tl (0.929, 0.319, 0.823)
Tl (0.217, 0.126, 0.440)
Tl (0.783, 0.874, 0.560)
Cd (0.000, 0.000, 0.000)
Ho (0.712, 0.659, 0.917)
Ho (0.288, 0.341, 0.083)
Ho (0.582, 0.211, 0.625)
Ho (0.418, 0.789, 0.375)

Summary:
For the total magnetization, the calculation gives 0.000 μB per atom. The energy of formation comes out at -0.66 eV per formula unit. Its space-group type is C2/m (12). The value obtained for the volume is 359.7 Å³/cell.